Record 1
DFT (PBE-GGA) results for a relaxed structure of CsZrAsBr2.

Calculated values
Total moment = 1.0 μB per formula unit
Raw formation energy = 4.3 eV/f.u.
Energy above the lowest structure with this stoichiometry = 1879 meV per atom
DOS(E_F) = 1.150 states/eV/atom

Cell: 6.2852 6.2852 5.9271 Å, 90.00 90.00 90.00°
Last column: nearest neighbours and their distance in Å.
Fractional coordinates of all 5 atoms:
Br 0.0000 0.5000 0.0000  2 Cs 3.14
Br 0.5000 0.0000 0.0000  2 Cs 3.14
As 0.0000 0.0000 0.5000  2 Cs 2.96
Cs 0.0000 0.0000 0.0000  2 As 2.96, 4 Br 3.14
Zr 0.5000 0.5000 0.5000  8 Br 4.32, 4 As 4.44


Record 2
DFT (PBE-GGA) results for a relaxed structure of SrCdTe2.

Calculated values
Total moment = 0.0 μB per formula unit
Raw formation energy = -3.7 eV/f.u.
DOS(E_F) = 0.000 states/eV/atom

Cell: 7.9198 7.9198 7.4352 Å, 57.82 57.82 90.00°
Last column: nearest neighbours and their distance in Å.
Fractional coordinates of all 8 atoms:
Cd 0.0000 0.0000 0.0000  4 Te 2.86
Cd 0.7500 0.2500 0.5000  4 Te 2.86
Sr 0.2500 0.7500 0.5000  4 Te 3.27
Sr 0.5000 0.5000 0.0000  4 Te 3.27
Te 0.6658 0.1250 0.2500  2 Cd 2.86
Te 0.0842 0.6250 0.2500  2 Cd 2.86
Te 0.3750 0.3342 0.7500  2 Cd 2.86
Te 0.8750 0.9158 0.7500  2 Cd 2.86